# 1
First-principles (PBE-GGA) data for a relaxed GdHfZnPt crystal, as listed in the Alexandria database.

Properties
mass density: 12.17 g cm⁻³
formation energy from the elements: -0.560 eV per atom
volume: 20.3 A^3/atom
raw total energy: -33.59 eV per cell
space group: No. 216

Cell lengths 4.864, 4.864, 4.864 Å; angles 60.00, 60.00, 60.00 degrees
Sites, in units of the cell vectors:
Gd1 0.000 0.000 0.000
Hf1 0.500 0.500 0.500
Zn1 0.250 0.250 0.250
Pt1 0.750 0.750 0.750


# 2
First-principles (PBE-GGA) data for a relaxed Sc3BiS crystal, as listed in the Alexandria database.

Properties
mass density: 5.13 g cm⁻³
energy relative to the lowest polymorph listed for this composition: 51.1 meV per atom
raw formation energy: -920 meV/atom
volume: 24.4 A^3/atom
raw total energy: -63.21 eV per cell
space group: No. 12

Cell lengths 8.296, 8.296, 8.694 Å; angles 117.07, 117.07, 27.43 degrees
Sites, in units of the cell vectors:
Sc1 0.048 0.048 0.215
Sc2 0.275 0.275 0.362
Sc3 0.346 0.346 0.988
Sc4 0.654 0.654 0.012
Sc5 0.725 0.725 0.638
Sc6 0.952 0.952 0.785
Bi1 0.119 0.119 0.724
Bi2 0.881 0.881 0.276
S1 0.340 0.340 0.687
S2 0.660 0.660 0.313


# 3
First-principles (PBE-GGA) data for a relaxed Pr2MgNi crystal, as listed in the Alexandria database.

Properties
mass density: 5.88 g cm⁻³
energy relative to the lowest polymorph listed for this composition: 122.9 meV per atom
formation energy from the elements: -0.019 eV per atom
volume: 25.8 A^3/atom
raw total energy: -17.01 eV per cell
space group: No. 225

Cell lengths 5.262, 5.262, 5.262 Å; angles 60.00, 60.00, 60.00 degrees
Sites, in units of the cell vectors:
Pr1 0.250 0.250 0.250
Pr2 0.750 0.750 0.750
Mg1 0.000 0.000 0.000
Ni1 0.500 0.500 0.500


# 4
First-principles (PBE-GGA) data for a relaxed CeDy6Ho3Er2 crystal, as listed in the Alexandria database.

Properties
mass density: 8.64 g cm⁻³
formation energy from the elements: 0.036 eV per atom
volume: 31.1 A^3/atom
raw total energy: -55.97 eV per cell
space group: No. 12

Cell lengths 6.115, 6.115, 11.714 Å; angles 94.99, 94.99, 119.98 degrees
Sites, in units of the cell vectors:
Ce1 0.000 0.000 0.000
Dy1 0.084 0.415 0.250
Dy2 0.248 0.248 0.750
Dy3 0.415 0.084 0.250
Dy4 0.585 0.916 0.750
Dy5 0.752 0.752 0.250
Dy6 0.916 0.585 0.750
Ho1 0.167 0.833 0.500
Ho2 0.500 0.500 0.500
Ho3 0.833 0.167 0.500
Er1 0.333 0.667 0.000
Er2 0.667 0.333 0.000


# 5
First-principles (PBE-GGA) data for a relaxed Tb4YSc crystal, as listed in the Alexandria database.

Properties
mass density: 6.90 g cm⁻³
energy relative to the lowest polymorph listed for this composition: 94.9 meV per atom
formation energy from the elements: 0.129 eV per atom
volume: 30.9 A^3/atom
raw total energy: -30.54 eV per cell
space group: No. 12

Cell lengths 6.258, 6.258, 5.780 Å; angles 90.01, 90.01, 54.96 degrees
Sites, in units of the cell vectors:
Tb1 0.160 0.160 0.001
Tb2 0.339 0.339 0.501
Tb3 0.661 0.661 0.499
Tb4 0.840 0.840 0.999
Y1 0.500 0.500 0.000
Sc1 0.000 0.000 0.500